Entry from Alexandria: an optimized crystal structure of HoLuAlRh (GGA-PBE).

Geometry as POSCAR:
```
HoLuAlRh
1.0
0.0000 3.4845 3.4845
3.4845 0.0000 3.4845
3.4845 3.4845 0.0000
Ho Lu Al Rh
1 1 1 1
direct
0.0000 0.0000 0.0000
0.5000 0.5000 0.5000
0.7500 0.7500 0.7500
0.2500 0.2500 0.2500
```

Symmetry: F-43m, No. 216
Calculated total energy (eV per atom): -5.653
Energy of formation from the pure elements (kJ per mole of atoms): -58.38

---

Entry from Alexandria: an optimized crystal structure of CdGePd4 (GGA-PBE).

Geometry as POSCAR:
```
CdGePd4
1.0
7.3396 0.0000 0.0000
0.0000 2.9859 0.0000
0.0000 0.0000 17.6661
Cd Ge Pd
4 4 16
direct
0.2010 0.2500 0.1867
0.2990 0.7500 0.6867
0.7010 0.2500 0.3133
0.7990 0.7500 0.8133
0.2468 0.7500 0.4530
0.2532 0.2500 0.9530
0.7468 0.7500 0.0470
0.7532 0.2500 0.5470
0.0151 0.7500 0.2933
0.0363 0.7500 0.5692
0.1029 0.7500 0.0560
0.1712 0.7500 0.8428
0.3288 0.2500 0.3428
0.3971 0.2500 0.5560
0.4637 0.2500 0.0692
0.4849 0.2500 0.7933
0.5151 0.7500 0.2067
0.5363 0.7500 0.9308
0.6029 0.7500 0.4440
0.6712 0.7500 0.6572
0.8288 0.2500 0.1572
0.8971 0.2500 0.9440
0.9637 0.2500 0.4308
0.9849 0.2500 0.7067
```

Symmetry: Pnma, No. 62
Calculated total energy (eV per atom): -4.778
Energy of formation from the pure elements (kJ per mole of atoms): -37.99

---

Entry from Alexandria: an optimized crystal structure of In2AsSe (GGA-PBE).

Geometry as POSCAR:
```
In2AsSe
1.0
6.1150 -1.9871 0.0000
6.1150 1.9871 0.0000
-2.0653 0.0000 5.0395
In As Se
2 1 1
direct
0.0000 0.0000 0.0000
0.7077 0.7077 0.2906
0.3655 0.3655 0.6125
0.3076 0.3076 0.0091
```

Symmetry: Cm, No. 8
Calculated total energy (eV per atom): -3.433

---

Entry from Alexandria: an optimized crystal structure of CdBi (GGA-PBE).

Geometry as POSCAR:
```
CdBi
1.0
5.1940 0.0000 0.0000
0.0000 4.2726 0.0000
-1.3321 0.0000 5.2234
Cd Bi
2 2
direct
0.0094 0.2500 0.2822
0.9906 0.7500 0.7178
0.4692 0.7500 0.2182
0.5308 0.2500 0.7818
```

Symmetry: P2_1/m, No. 11
Calculated total energy (eV per atom): -2.321
Energy of formation from the pure elements (kJ per mole of atoms): 7.48

---

- What is the formula in the third record?
  In2AsSe